No. 1
# PrSm5Er4

A relaxed structure of PrSm5Er4 (PBE-GGA, Alexandria).

For the formation energy, the calculation gives 0.22 eV/atom.

It has space group P-1 (No. 2), with a = 3.564 Å, b = 9.245 Å, c = 10.919 Å, α = 76.76°, β = 89.94° and γ = 79.13°. Symmetry generates all atoms from Pr at (0.000, 0.000, 0.000), Sm at (0.000, 0.000, 0.500), Sm at (0.335, 0.338, 0.477), Sm at (0.340, 0.323, 0.088), Er at (0.173, 0.645, 0.222) and Er at (0.474, 0.053, 0.739).

No. 2
# Sr2RuPbO8

A relaxed structure of Sr2RuPbO8 (PBE-GGA, Alexandria).

The raw total energy is -6.02 eV/atom.

It has space group P2/m (No. 10), with a = 4.618 Å, b = 7.109 Å, c = 5.438 Å, α = 90.00°, β = 94.29° and γ = 90.00°. Symmetry generates all atoms from Sr at (0.000, 0.241, 0.000), Ru at (0.500, 0.000, 0.500), Pb at (0.500, 0.500, 0.500), O at (0.082, 0.000, 0.395), O at (0.134, 0.500, 0.262) and O at (0.432, 0.198, 0.730).

No. 3
# LaNd2Tm

A relaxed structure of LaNd2Tm (PBE-GGA, Alexandria).

For the formation energy, the calculation gives 0.02 eV/atom.

It has space group R3m (No. 160, hexagonal axes), with a = 3.6482 Å, b = 3.6482 Å, c = 35.7956 Å, α = 90.00°, β = 90.00° and γ = 120.00°. Symmetry generates all atoms from La at (0.0000, 0.0000, 0.0000), Nd at (0.0000, 0.0000, 0.2466), Nd at (0.0000, 0.0000, 0.4195) and Tm at (0.0000, 0.0000, 0.8331).

No. 4
# YAgPbCl6

A relaxed structure of YAgPbCl6 (PBE-GGA, Alexandria).

The raw total energy is -4.17 eV/atom.

It has space group P-31c (No. 163), with a = 6.9201 Å, b = 6.9201 Å, c = 12.7613 Å, α = 90.00°, β = 90.00° and γ = 120.00°. Symmetry generates all atoms from Y at (0.3333, 0.6667, 0.2500), Ag at (0.3333, 0.6667, 0.7500), Pb at (0.0000, 0.0000, 0.0000) and Cl at (0.0136, 0.3552, 0.1304).

Q: Number 4 is which compound?
A: YAgPbCl6